Material: Li3Co4O8
Method: DFT, PBE+U
State: optimized geometry

Results
Its energy above the most stable polymorph in this dataset is 81.3 meV per atom. The value obtained for the theoretical density is 4.7 g cm⁻³.

Unit cell a=5.7971 b=5.7971 c=5.6585 alpha=118.44 beta=118.44 gamma=93.06
With the nearest neighbours (Å) after each atom.
Positions (direct):
Li  0.0000  0.0000  0.0000  6 O 2.12-2.30
Li  0.0000  0.5000  0.0000  6 O 2.00-2.11
Li  0.5000  0.0000  0.0000  6 O 2.00-2.11
Co  0.0000  0.5000  0.5000  6 O 2.01-2.11
Co  0.5000  0.0000  0.5000  6 O 2.01-2.11
Co  0.5000  0.5000  0.0000  6 O 1.88-1.94
Co  0.5000  0.5000  0.5000  6 O 1.87-1.91
O  0.2739  0.2739  0.5258  4 Co 1.91-2.11
O  0.2739  0.7261  0.0000  3 Co 1.90-2.05, 2 Li 2.00
O  0.2780  0.7220  0.5000  3 Co 1.87-2.01, 2 Li 2.06
O  0.2862  0.2862  0.0435  2 Co 1.87-1.88
O  0.7138  0.7138  0.9565  2 Co 1.87-1.88
O  0.7220  0.2780  0.5000  3 Co 1.87-2.01, 2 Li 2.06
O  0.7261  0.2739  0.0000  3 Co 1.90-2.05, 2 Li 2.00
O  0.7261  0.7261  0.4742  4 Co 1.91-2.11